No. 1
# InRuBr2 PBE relaxed
# Total DFT energy (no corrections) = -0.241 Ry per atom
# Density of states at the Fermi level = 4.83 states/eV per cell
# Energy above the lowest structure with this stoichiometry = 651 meV per atom
data_InRuBr2
_chemical_formula_sum 'In1 Ru1 Br2'
_cell_length_a 6.522
_cell_length_b 6.522
_cell_length_c 6.522
_cell_angle_alpha 142.45
_cell_angle_beta 142.45
_cell_angle_gamma 54.15
_space_group_name_H-M_alt 'P 1'
_space_group_IT_number 1
_space_group_name_Hall 'P 1'
loop_
_atom_site_label
_atom_site_type_symbol
_atom_site_fract_x
_atom_site_fract_y
_atom_site_fract_z
_atom_site_occupancy
Ru1 Ru 0.750 0.250 0.500 1
Br1 Br 0.000 0.000 0.000 1
Br2 Br 0.250 0.750 0.500 1
In1 In 0.500 0.500 0.000 1

No. 2
# PmPrZnGe PBE relaxed
# Total DFT energy (no corrections) = -0.321 Ry per atom
# Density of states at the Fermi level = 3.11 states/eV per cell
# Energy above the lowest structure with this stoichiometry = 65 meV per atom
data_PmPrZnGe
_chemical_formula_sum 'Pm1 Pr1 Zn1 Ge1'
_cell_length_a 5.198
_cell_length_b 5.198
_cell_length_c 5.198
_cell_angle_alpha 60.00
_cell_angle_beta 60.00
_cell_angle_gamma 60.00
_space_group_name_H-M_alt 'P 1'
_space_group_IT_number 1
_space_group_name_Hall 'P 1'
loop_
_atom_site_label
_atom_site_type_symbol
_atom_site_fract_x
_atom_site_fract_y
_atom_site_fract_z
_atom_site_occupancy
Pr1 Pr 0.500 0.500 0.500 1
Ge1 Ge 0.250 0.250 0.250 1
Zn1 Zn 0.750 0.750 0.750 1
Pm1 Pm 0.000 0.000 0.000 1

No. 3
# PtAu4 PBE relaxed
# Total DFT energy (no corrections) = -0.212 Ry per atom
# Density of states at the Fermi level = 4.73 states/eV per cell
# Energy above the lowest structure with this stoichiometry = 909 meV per atom
data_PtAu4
_chemical_formula_sum 'Pt1 Au4'
_cell_length_a 5.049
_cell_length_b 5.049
_cell_length_c 5.049
_cell_angle_alpha 90.00
_cell_angle_beta 90.00
_cell_angle_gamma 90.00
_space_group_name_H-M_alt 'P 1'
_space_group_IT_number 1
_space_group_name_Hall 'P 1'
loop_
_atom_site_label
_atom_site_type_symbol
_atom_site_fract_x
_atom_site_fract_y
_atom_site_fract_z
_atom_site_occupancy
Au1 Au 0.000 0.000 0.000 1
Au2 Au 0.500 0.000 0.500 1
Au3 Au 0.000 0.500 0.500 1
Au4 Au 0.500 0.500 0.000 1
Pt1 Pt 0.500 0.500 0.500 1

No. 4
# Hg2TePb PBE relaxed
# Total DFT energy (no corrections) = -0.134 Ry per atom
# Density of states at the Fermi level = 2.56 states/eV per cell
# Energy above the lowest structure with this stoichiometry = 210 meV per atom
data_Hg2TePb
_chemical_formula_sum 'Hg2 Te1 Pb1'
_cell_length_a 4.104
_cell_length_b 4.104
_cell_length_c 6.778
_cell_angle_alpha 90.00
_cell_angle_beta 90.00
_cell_angle_gamma 90.00
_space_group_name_H-M_alt 'P 1'
_space_group_IT_number 1
_space_group_name_Hall 'P 1'
loop_
_atom_site_label
_atom_site_type_symbol
_atom_site_fract_x
_atom_site_fract_y
_atom_site_fract_z
_atom_site_occupancy
Hg1 Hg 0.000 0.000 0.992 1
Hg2 Hg 0.000 0.000 0.508 1
Pb1 Pb 0.500 0.500 0.250 1
Te1 Te 0.500 0.500 0.750 1

No. 5
# CeSmRuRh PBE relaxed
# Total DFT energy (no corrections) = -0.536 Ry per atom
# Density of states at the Fermi level = 3.70 states/eV per cell
# Energy above the lowest structure with this stoichiometry = 37 meV per atom
data_CeSmRuRh
_chemical_formula_sum 'Ce1 Sm1 Ru1 Rh1'
_cell_length_a 4.919
_cell_length_b 4.919
_cell_length_c 4.919
_cell_angle_alpha 60.00
_cell_angle_beta 60.00
_cell_angle_gamma 60.00
_space_group_name_H-M_alt 'P 1'
_space_group_IT_number 1
_space_group_name_Hall 'P 1'
loop_
_atom_site_label
_atom_site_type_symbol
_atom_site_fract_x
_atom_site_fract_y
_atom_site_fract_z
_atom_site_occupancy
Ru1 Ru 0.750 0.750 0.750 1
Rh1 Rh 0.250 0.250 0.250 1
Ce1 Ce 0.500 0.500 0.500 1
Sm1 Sm 0.000 0.000 0.000 1

No. 6
# NaSr2Al2 PBE relaxed
# Total DFT energy (no corrections) = -0.174 Ry per atom
# Density of states at the Fermi level = 4.90 states/eV per cell
# Energy above the lowest structure with this stoichiometry = 113 meV per atom
data_NaSr2Al2
_chemical_formula_sum 'Na2 Sr4 Al4'
_cell_length_a 9.561
_cell_length_b 9.561
_cell_length_c 3.607
_cell_angle_alpha 90.00
_cell_angle_beta 90.00
_cell_angle_gamma 90.00
_space_group_name_H-M_alt 'P 1'
_space_group_IT_number 1
_space_group_name_Hall 'P 1'
loop_
_atom_site_label
_atom_site_type_symbol
_atom_site_fract_x
_atom_site_fract_y
_atom_site_fract_z
_atom_site_occupancy
Sr1 Sr 0.313 0.813 0.000 1
Sr2 Sr 0.813 0.687 0.000 1
Sr3 Sr 0.687 0.187 0.000 1
Sr4 Sr 0.187 0.313 0.000 1
Al1 Al 0.101 0.601 0.500 1
Al2 Al 0.601 0.899 0.500 1
Al3 Al 0.899 0.399 0.500 1
Al4 Al 0.399 0.101 0.500 1
Na1 Na 0.000 0.000 0.000 1
Na2 Na 0.500 0.500 0.000 1